Below is a relaxed CaThS3 crystal, with properties calculated at the PBE level.

POSCAR file:
```
CaThS3
1.0
7.653 -2.408 0.000
7.653 2.408 0.000
-0.868 0.000 8.073
Ca Th S
2 2 6
Direct
0.149 0.149 0.374
0.851 0.851 0.626
0.375 0.375 0.093
0.625 0.625 0.907
0.180 0.180 0.032
0.331 0.331 0.409
0.451 0.451 0.789
0.549 0.549 0.211
0.669 0.669 0.591
0.820 0.820 0.968
```

Computed properties:
For the relative energy among the computed polymorphs, the calculation gives 145 meV per atom. The symmetry is C2/m, No. 12. The value obtained for the raw formation energy is -1.87 eV/atom.



Below is a relaxed CsBa3Cu crystal, with properties calculated at the PBE level.

POSCAR file:
```
CsBa3Cu
1.0
6.479 0.000 0.000
0.000 6.479 0.000
0.000 0.000 6.479
Cs Ba Cu
1 3 1
Direct
0.000 0.000 0.000
0.000 0.000 0.500
0.000 0.500 0.000
0.500 0.000 0.000
0.500 0.500 0.500
```

Computed properties:
For the relative energy among the computed polymorphs, the calculation gives 953 meV per atom. For the calculated formation energy, the calculation gives 1.03 eV per atom. The symmetry is Pm-3m, No. 221.



Below is a relaxed Sc4HgO2 crystal, with properties calculated at the PBE level.

POSCAR file:
```
Sc4HgO2
1.0
-2.593 2.593 5.912
2.593 -2.593 5.912
2.593 2.593 -5.912
Sc Hg O
4 1 2
Direct
0.000 0.500 0.500
0.248 0.248 0.000
0.500 0.000 0.500
0.752 0.752 0.000
0.000 0.000 0.000
0.401 0.401 0.000
0.599 0.599 0.000
```

Computed properties:
The symmetry is I4/mmm, No. 139. The value obtained for the raw formation energy is -0.83 eV/atom.



Below is a relaxed LiTb3Al2 crystal, with properties calculated at the PBE level.

POSCAR file:
```
LiTb3Al2
1.0
3.599 0.000 0.000
0.000 3.599 0.000
0.000 0.000 11.301
Li Tb Al
1 3 2
Direct
0.000 0.000 0.000
0.500 0.500 0.180
0.500 0.500 0.500
0.500 0.500 0.820
0.000 0.000 0.335
0.000 0.000 0.665
```

Computed properties:
For the relative energy among the computed polymorphs, the calculation gives 24 meV per atom. For the calculated formation energy, the calculation gives -0.26 eV per atom. The symmetry is P4/mmm, No. 123.



Below is a relaxed TcTe2ICl crystal, with properties calculated at the PBE level.

POSCAR file:
```
TcTe2ICl
1.0
5.161 0.000 0.000
0.000 5.161 0.000
0.000 0.000 5.595
Tc Te I Cl
1 2 1 1
Direct
0.000 0.000 0.000
0.000 0.500 0.000
0.500 0.000 0.000
0.000 0.000 0.500
0.500 0.500 0.500
```

Computed properties:
For the relative energy among the computed polymorphs, the calculation gives 0 meV per atom. The symmetry is P4/mmm, No. 123. The value obtained for the raw formation energy is 0.33 eV/atom.



Below is a relaxed Ba2TlTeSe5 crystal, with properties calculated at the PBE level.

POSCAR file:
```
Ba2TlTeSe5
1.0
2.305 -9.567 0.000
2.305 9.567 0.000
0.000 0.000 13.071
Ba Tl Te Se
4 2 2 10
Direct
0.107 0.893 0.500
0.134 0.866 0.117
0.866 0.134 0.617
0.893 0.107 0.000
0.435 0.565 0.255
0.565 0.435 0.755
0.220 0.780 0.839
0.780 0.220 0.339
0.053 0.947 0.871
0.279 0.721 0.453
0.309 0.691 0.153
0.355 0.645 0.808
0.489 0.511 0.581
0.511 0.489 0.081
0.645 0.355 0.308
0.691 0.309 0.653
0.721 0.279 0.953
0.947 0.053 0.371
```

Computed properties:
The symmetry is Cmc2_1, No. 36. The value obtained for the raw formation energy is -0.96 eV/atom.